# 1
Material: CsAsSe2
Method: DFT, SCAN
State: PBEsol geometry

## Properties
E_form (uncorrected): -589 meV/atom
V: 35.308 Å³/atom
E_tot: -25.129 eV per atom
Symmetry: No. 122

Cell lengths 7.174, 7.174, 7.174 Å; angles 104.18, 112.18, 112.18 degrees
Positions (direct):
1 As 0.000 0.500 0.500
2 As 0.500 0.250 0.750
3 Cs 0.000 0.000 0.000
4 Cs 0.500 0.750 0.250
5 Se 0.610 0.375 0.485
6 Se 0.390 0.875 0.765
7 Se 0.890 0.515 0.125
8 Se 0.110 0.235 0.625

# 2
Material: CsAsSe2
Method: DFT, SCAN
State: PBEsol geometry

## Properties
E_form (uncorrected): -751 meV/atom
V: 32.847 Å³/atom
E_tot: -25.291 eV per atom
Symmetry: No. 14

Cell lengths 6.969, 10.565, 14.719 Å; angles 90.00, 90.00, 104.10 degrees
Positions (direct):
1 Se 0.821 0.149 0.409
2 Se 0.321 0.649 0.091
3 Se 0.366 0.567 0.620
4 Se 0.634 0.433 0.380
5 Se 0.459 0.257 0.175
6 Se 0.541 0.743 0.825
7 Se 0.179 0.851 0.591
8 Se 0.470 0.745 0.394
9 Se 0.134 0.933 0.120
10 Se 0.041 0.243 0.675
11 Se 0.959 0.757 0.325
12 Se 0.866 0.067 0.880
13 Se 0.030 0.755 0.894
14 Se 0.970 0.245 0.106
15 Se 0.530 0.255 0.606
16 Se 0.679 0.351 0.909
17 Cs 0.650 0.954 0.204
18 Cs 0.150 0.454 0.296
19 Cs 0.714 0.932 0.603
20 Cs 0.286 0.068 0.397
21 Cs 0.214 0.432 0.897
22 Cs 0.850 0.546 0.704
23 Cs 0.786 0.568 0.103
24 Cs 0.350 0.046 0.796
25 As 0.746 0.655 0.442
26 As 0.695 0.170 0.996
27 As 0.246 0.155 0.058
28 As 0.195 0.670 0.504
29 As 0.754 0.845 0.942
30 As 0.805 0.330 0.496
31 As 0.305 0.830 0.004
32 As 0.254 0.345 0.558